Below is an optimized crystal structure of Na2ZnGeTe4, with properties calculated at the PBE level.

Lattice parameters (Å, degrees): 7.5056 8.7755 8.6537 90.00 90.00 90.00
Fractional positions:
1 Na 0.4985 0.3312 0.2579
2 Na 0.4985 0.3312 0.7421
3 Na 0.9985 0.6688 0.7579
4 Na 0.9985 0.6688 0.2421
5 Zn 0.9869 0.1418 0.5000
6 Zn 0.4869 0.8582 0.0000
7 Ge 0.4997 0.8465 0.5000
8 Ge 0.9997 0.1535 0.0000
9 Te 0.3470 0.1329 0.0000
10 Te 0.8470 0.8671 0.5000
11 Te 0.3453 0.1112 0.5000
12 Te 0.8453 0.8888 0.0000
13 Te 0.4120 0.6836 0.7477
14 Te 0.9120 0.3164 0.2477
15 Te 0.9120 0.3164 0.7523
16 Te 0.4120 0.6836 0.2523

Summary:
Size of the total moment ... 0.00 Bohr magnetons per cell
Uncorrected formation energy ... -0.448 eV per atom
Calculated density ... 4.05 g cm⁻³